[1]
The following is a PBE calculation of a relaxed TbY2CuTe5 crystal, from Alexandria.

a b c (Å): 4.236 9.682 12.919
angles (deg): 90.00 90.00 102.64
Sites, in units of the cell vectors:
Tb 0.811 0.621 0.509
Tb 0.189 0.379 0.009
Y 0.876 0.753 0.804
Y 0.109 0.217 0.683
Y 0.124 0.247 0.304
Y 0.891 0.783 0.183
Cu 0.570 0.140 0.960
Cu 0.430 0.860 0.460
Te 0.355 0.710 0.999
Te 0.684 0.368 0.838
Te 0.499 0.998 0.787
Te 0.287 0.573 0.676
Te 0.961 0.922 0.567
Te 0.645 0.290 0.499
Te 0.316 0.632 0.338
Te 0.501 0.002 0.287
Te 0.713 0.427 0.176
Te 0.039 0.078 0.067

Results
Formation energy (no corrections): -1.132 eV/atom
SG: Cmc2_1

---

[2]
The following is a PBE calculation of a relaxed TbThCu4 crystal, from Alexandria.

a b c (Å): 5.316 5.316 5.316
angles (deg): 60.00 60.00 60.00
Sites, in units of the cell vectors:
Tb 0.000 0.000 0.000
Cu 0.625 0.625 0.124
Cu 0.625 0.124 0.625
Cu 0.625 0.625 0.625
Cu 0.124 0.625 0.625
Th 0.250 0.250 0.250

Results
Excess energy over the best structure of this formula in the dataset: 92 meV/atom
Calculated formation energy: -0.089 eV/atom
SG: F-43m

---

[3]
The following is a PBE calculation of a relaxed Tb2ThCu9 crystal, from Alexandria.

a b c (Å): 5.221 5.221 16.644
angles (deg): 90.00 90.00 120.00
Sites, in units of the cell vectors:
Tb 0.333 0.667 0.537
Tb 0.667 0.333 0.037
Tb 0.667 0.333 0.463
Tb 0.333 0.667 0.963
Th 0.333 0.667 0.750
Th 0.667 0.333 0.250
Cu 0.000 0.000 0.000
Cu 0.000 0.000 0.500
Cu 0.000 0.000 0.250
Cu 0.000 0.000 0.750
Cu 0.333 0.667 0.250
Cu 0.667 0.333 0.750
Cu 0.167 0.333 0.127
Cu 0.667 0.833 0.127
Cu 0.167 0.833 0.127
Cu 0.833 0.667 0.627
Cu 0.333 0.167 0.627
Cu 0.833 0.167 0.627
Cu 0.333 0.167 0.873
Cu 0.833 0.667 0.873
Cu 0.833 0.167 0.873
Cu 0.667 0.833 0.373
Cu 0.167 0.333 0.373
Cu 0.167 0.833 0.373

Results
Calculated formation energy: -0.166 eV/atom
SG: P6_3/mmc

---

[4]
The following is a PBE calculation of a relaxed TbTh2Cu crystal, from Alexandria.

a b c (Å): 3.570 3.570 8.712
angles (deg): 90.00 90.00 90.00
Sites, in units of the cell vectors:
Tb 0.500 0.500 0.500
Cu 0.500 0.500 0.000
Th 0.000 0.000 0.794
Th 0.000 0.000 0.206

Results
Excess energy over the best structure of this formula in the dataset: 0 meV/atom
Calculated formation energy: 0.016 eV/atom
SG: P4/mmm

---

[5]
The following is a PBE calculation of a relaxed Tb2ThCu crystal, from Alexandria.

a b c (Å): 3.548 3.548 8.364
angles (deg): 90.00 90.00 90.00
Sites, in units of the cell vectors:
Tb 0.000 0.000 0.796
Tb 0.000 0.000 0.204
Cu 0.500 0.500 0.000
Th 0.500 0.500 0.500

Results
Excess energy over the best structure of this formula in the dataset: 0 meV/atom
Calculated formation energy: -0.088 eV/atom
SG: P4/mmm

---

[6]
The following is a PBE calculation of a relaxed Tb4ThCu5 crystal, from Alexandria.

a b c (Å): 3.478 3.478 17.750
angles (deg): 90.00 90.00 90.00
Sites, in units of the cell vectors:
Tb 0.000 0.000 0.205
Tb 0.000 0.000 0.401
Tb 0.000 0.000 0.599
Tb 0.000 0.000 0.795
Th 0.000 0.000 0.000
Cu 0.500 0.500 0.109
Cu 0.500 0.500 0.302
Cu 0.500 0.500 0.500
Cu 0.500 0.500 0.698
Cu 0.500 0.500 0.891

Results
Calculated formation energy: -0.201 eV/atom
SG: P4/mmm